[1]
DFT (PBEsol) results for a relaxed SrCd2AgBi crystal.

Unit cell a=5.7509 b=5.7509 c=5.4158 alpha=90.00 beta=90.00 gamma=90.00
Last column: nearest neighbours and their distance in Å.
Sites, in units of the cell vectors:
Sr: 0.0000 0.0000 0.0000  2 Ag 2.71, 4 Cd 2.88
Cd: 0.0000 0.5000 0.0000  2 Sr 2.88
Cd: 0.5000 0.0000 0.0000  2 Sr 2.88
Ag: 0.0000 0.0000 0.5000  2 Sr 2.71
Bi: 0.5000 0.5000 0.5000  8 Cd 3.95, 4 Ag 4.07

Results
SG: P4/mmm
Energy relative to the elements, eV per atom: 0.899

=====

[2]
DFT (PBEsol) results for a relaxed Cs2AgBiCl6 crystal.

Unit cell a=7.5422 b=7.5422 c=7.5422 alpha=60.00 beta=60.00 gamma=60.00
Last column: nearest neighbours and their distance in Å.
Sites, in units of the cell vectors:
Cs: 0.2500 0.2500 0.2500  12 Cl 3.77
Cs: 0.7500 0.7500 0.7500  12 Cl 3.77
Ag: 0.0000 0.0000 0.0000  6 Cl 2.64
Bi: 0.5000 0.5000 0.5000  6 Cl 2.69
Cl: 0.2474 0.2474 0.7526  1 Ag 2.64, 1 Bi 2.69
Cl: 0.2474 0.7526 0.2474  1 Ag 2.64, 1 Bi 2.69
Cl: 0.2474 0.7526 0.7526  1 Ag 2.64, 1 Bi 2.69
Cl: 0.7526 0.2474 0.2474  1 Ag 2.64, 1 Bi 2.69
Cl: 0.7526 0.2474 0.7526  1 Ag 2.64, 1 Bi 2.69
Cl: 0.7526 0.7526 0.2474  1 Ag 2.64, 1 Bi 2.69

Results
Electronic total energy, eV for the cell shown: -34.9
SG: Fm-3m

=====

- What is the formula in the second record?
  Cs2AgBiCl6